A geometry-optimized NiBi2O structure. Source: Alexandria, functional PBE+U.

```
NiBi2O
1.0
5.5837 0.0000 0.0000
0.0000 5.5837 0.0000
2.7918 2.7918 5.7979
Ni Bi O
2 4 2
Cartesian
0.0000 0.0000 0.0000
5.5837 2.7918 2.8990
4.0881 1.3959 1.4495
1.4955 4.1877 1.4495
4.1877 4.2874 4.3485
6.9796 6.8799 4.3485
2.7918 2.7918 0.0000
2.7918 5.5837 2.8990
```

Values from the calculation:
ρ ... 9.05 g/cm3
DOS(E_F) ... 0.42 states/eV/atom
E_tot ... -3.6666 eV/atom